An optimized crystal structure of RbZrGa, computed with PBE-GGA.

Cell lengths 7.283, 7.283, 7.283 Å; angles 90.00, 90.00, 90.00 degrees
Fractional coordinates of all 12 atoms:
Rb (0.000, 0.000, 0.000)
Rb (0.000, 0.500, 0.500)
Rb (0.500, 0.000, 0.500)
Rb (0.500, 0.500, 0.000)
Zr (0.000, 0.000, 0.500)
Zr (0.000, 0.500, 0.000)
Zr (0.500, 0.000, 0.000)
Zr (0.500, 0.500, 0.500)
Ga (0.250, 0.250, 0.250)
Ga (0.250, 0.750, 0.750)
Ga (0.750, 0.250, 0.750)
Ga (0.750, 0.750, 0.250)

DFT total energy = -3.222 eV/atom
Energy above the most stable polymorph in this dataset = 1.0488 eV per atom
Density of states at the Fermi level = 3.5 states/eV per cell
M_tot = 0.00 μB per formula unit
Space group = F-43m, No. 216